Er2SiP | PBE | optimized geometry

* ρ: 7148 kg/m3
* raw formation energy: -1042.5 meV per atom
* offset from the most stable computed form: 3.67 kcal/mol of atoms

Cell lengths 3.8845, 3.8845, 20.9895 Å; angles 90.00, 90.00, 120.00 degrees
Closest atoms and distances in Å follow each position.
Space group R-3m (No. 166, hexagonal axes)
Inequivalent atoms, fractional coordinates:
Er 0.0000 0.0000 0.2443 [6 per cell]  3 P 2.77, 3 Si 2.92
Si 0.0000 0.0000 0.0000 [3 per cell]  6 Er 2.92
P 0.0000 0.0000 0.5000 [3 per cell]  6 Er 2.77